(1)
VASP calculation (PBE) on a geometry-optimized BaNa2SnTe4 structure.

abc: 8.630 9.955 13.201
angles: 90.00 90.00 90.00
Space group Imma (No. 74)
Symmetry-distinct sites (fractional):
Ba1 0.000 0.000 0.000 x4
Na1 0.000 0.000 0.500 x4
Na2 0.250 0.250 0.250 x4
Sn1 0.250 0.250 0.750 x4
Te1 0.000 0.031 0.740 x8
Te2 0.230 0.250 0.512 x8

Calculated values
Crystal system = orthorhombic
DOS at the Fermi energy = 0.667 states/eV/atom
Uncorrected energy = -108.7 eV per cell

=====

(2)
VASP calculation (PBE) on a geometry-optimized BaNaTl2Sn structure.

abc: 4.806 5.173 13.545
angles: 90.00 90.00 90.00
Space group Imm2 (No. 44)
Symmetry-distinct sites (fractional):
Ba1 0.000 0.000 0.000 x2
Na1 0.000 0.500 0.738 x2
Tl1 0.000 0.000 0.386 x2
Tl2 0.000 0.500 0.248 x2
Sn1 0.000 0.000 0.604 x2

Calculated values
Crystal system = orthorhombic
DOS at the Fermi energy = 0.244 states/eV/atom
ΔE_f = -0.307 eV per atom

=====

(3)
VASP calculation (PBE) on a geometry-optimized BaNaTlSn2 structure.

abc: 5.003 5.003 13.389
angles: 90.00 90.00 90.00
Space group I-4m2 (No. 119)
Symmetry-distinct sites (fractional):
Ba1 0.000 0.000 0.000 x2
Na1 0.000 0.500 0.750 x2
Tl1 0.000 0.500 0.250 x2
Sn1 0.000 0.000 0.393 x4

Calculated values
Crystal system = tetragonal
DOS at the Fermi energy = 0.566 states/eV/atom
ΔE_f = -0.353 eV per atom

=====

(4)
VASP calculation (PBE) on a geometry-optimized BaNaTlSn structure.

abc: 8.135 8.135 8.135
angles: 90.00 90.00 90.00
Space group F-43m (No. 216)
Symmetry-distinct sites (fractional):
Ba1 0.000 0.000 0.000 x4
Na1 0.000 0.000 0.500 x4
Tl1 0.250 0.250 0.750 x4
Sn1 0.250 0.250 0.250 x4

Calculated values
Crystal system = cubic
DOS at the Fermi energy = 0.178 states/eV/atom
ΔE_f = -0.351 eV per atom

=====

(5)
VASP calculation (PBE) on a geometry-optimized Ba2NaTl3Sn4 structure.

abc: 4.965 4.965 13.651
angles: 90.00 90.00 90.00
Space group P-4m2 (No. 115)
Symmetry-distinct sites (fractional):
Ba1 0.000 0.500 0.249 x2
Na1 0.000 0.000 0.500 x1
Tl1 0.000 0.500 0.859 x2
Tl2 0.500 0.500 0.500 x1
Sn1 0.000 0.000 0.000 x1
Sn2 0.000 0.500 0.640 x2
Sn3 0.500 0.500 0.000 x1

Calculated values
Crystal system = tetragonal
DOS at the Fermi energy = 0.540 states/eV/atom
ΔE_f = -0.282 eV per atom

=====

(6)
VASP calculation (PBE) on a geometry-optimized Ba2NaZn3Sn4 structure.

abc: 4.846 4.846 11.832
angles: 90.00 90.00 90.00
Space group P-4m2 (No. 115)
Symmetry-distinct sites (fractional):
Ba1 0.000 0.500 0.247 x2
Na1 0.000 0.000 0.500 x1
Zn1 0.000 0.500 0.868 x2
Zn2 0.500 0.500 0.500 x1
Sn1 0.000 0.000 0.000 x1
Sn2 0.000 0.500 0.640 x2
Sn3 0.500 0.500 0.000 x1

Calculated values
Crystal system = tetragonal
DOS at the Fermi energy = 0.500 states/eV/atom
ΔE_f = -0.367 eV per atom

=====

(7)
VASP calculation (PBE) on a geometry-optimized Ba2NaSr7 structure.

abc: 13.590 13.590 13.590
angles: 90.00 90.00 90.00
Space group Fm-3m (No. 225)
Symmetry-distinct sites (fractional):
Ba1 0.250 0.250 0.250 x8
Na1 0.000 0.000 0.000 x4
Sr1 0.000 0.000 0.242 x24
Sr2 0.000 0.000 0.500 x4

Calculated values
Polymorph energy (0 for the lowest one) = 0.0 meV per atom
Crystal system = cubic
DOS at the Fermi energy = 1.190 states/eV/atom
ΔE_f = 0.349 eV per atom

=====

(8)
VASP calculation (PBE) on a geometry-optimized Ba3Na2Sr2 structure.

abc: 4.367 40.875 4.311
angles: 90.00 90.00 90.00
Space group Cmmm (No. 65)
Symmetry-distinct sites (fractional):
Ba1 0.000 0.000 0.000 x2
Ba2 0.000 0.417 0.500 x4
Na1 0.000 0.147 0.000 x4
Sr1 0.000 0.294 0.500 x4

Calculated values
Polymorph energy (0 for the lowest one) = 34.2 meV per atom
Crystal system = orthorhombic
DOS at the Fermi energy = 1.248 states/eV/atom
ΔE_f = 0.067 eV per atom

=====

(9)
VASP calculation (PBE) on a geometry-optimized Ba8NaSr6 structure.

abc: 10.8642 10.8642 26.0424
angles: 90.00 90.00 120.00
Space group R-3 (No. 148, hexagonal axes)
Symmetry-distinct sites (fractional):
Ba1 0.0000 0.0000 0.0786 x6
Ba2 0.0512 0.2561 0.6304 x18
Na1 0.0000 0.0000 0.5000 x3
Sr1 0.0174 0.7702 0.2067 x18

Calculated values
Crystal system = trigonal
DOS at the Fermi energy = 1.111 states/eV/atom
ΔE_f = 0.042 eV per atom

=====

(10)
VASP calculation (PBE) on a geometry-optimized BaNa4Sr5 structure.

abc: 4.494 4.494 24.160
angles: 90.00 90.00 90.00
Space group P4/mmm (No. 123)
Symmetry-distinct sites (fractional):
Ba1 0.000 0.000 0.000 x1
Na1 0.000 0.000 0.220 x2
Na2 0.000 0.000 0.407 x2
Sr1 0.500 0.500 0.126 x2
Sr2 0.500 0.500 0.314 x2
Sr3 0.500 0.500 0.500 x1

Calculated values
Crystal system = tetragonal
DOS at the Fermi energy = 0.898 states/eV/atom
ΔE_f = 0.019 eV per atom

=====

(11)
VASP calculation (PBE) on a geometry-optimized Ba4NaSr2 structure.

abc: 20.667 4.255 10.662
angles: 90.00 117.31 90.00
Space group C2/m (No. 12)
Symmetry-distinct sites (fractional):
Ba1 0.076 0.000 0.212 x4
Ba2 0.138 0.500 0.904 x4
Na1 0.000 0.000 0.500 x2
Sr1 0.220 0.000 0.643 x4

Calculated values
Polymorph energy (0 for the lowest one) = 0.0 meV per atom
Crystal system = monoclinic
DOS at the Fermi energy = 1.347 states/eV/atom
ΔE_f = 0.064 eV per atom

=====

(12)
VASP calculation (PBE) on a geometry-optimized BaNa6Sr6 structure.

abc: 7.312 12.845 13.251
angles: 90.00 90.00 90.00
Space group Immm (No. 71)
Symmetry-distinct sites (fractional):
Ba1 0.000 0.000 0.000 x2
Na1 0.000 0.500 0.271 x4
Na2 0.250 0.250 0.250 x8
Sr1 0.000 0.000 0.349 x4
Sr2 0.000 0.314 0.500 x4
Sr3 0.000 0.346 0.000 x4

Calculated values
Crystal system = orthorhombic
DOS at the Fermi energy = 0.899 states/eV/atom
ΔE_f = 0.029 eV per atom